Record 1
Below is a crystal of Sr2GdCu2RuO8 relaxed with PBEsol, with properties calculated at the SCAN level.

```
Sr2GdCu2RuO8
1.0
3.7953 0.0000 0.0000
0.0000 3.7953 0.0000
0.0000 0.0000 11.5786
Sr Gd Cu Ru O
2 1 2 1 8
Direct
0.5000 0.5000 0.8057
0.5000 0.5000 0.1943
0.5000 0.5000 0.5000
0.0000 0.0000 0.6424
0.0000 0.0000 0.3576
0.0000 0.0000 0.0000
0.5000 0.0000 0.0000
0.0000 0.5000 0.0000
0.0000 0.0000 0.8278
0.0000 0.0000 0.1722
0.5000 0.0000 0.6273
0.0000 0.5000 0.6273
0.5000 0.0000 0.3727
0.0000 0.5000 0.3727
```

Properties
Total magnetization   7.0 μB/cell
ΔE_f (raw)   -2093 meV per atom
Energy above the most stable polymorph in this dataset   53.3 meV per atom
Symmetry   No. 123

---

Record 2
Below is a crystal of TeRuN3 relaxed with PBEsol, with properties calculated at the SCAN level.

```
TeRuN3
1.0
3.8879 0.0000 0.0000
0.0000 3.8879 0.0000
0.0000 0.0000 3.8879
Ru Te N
1 1 3
Direct
0.0000 0.0000 0.0000
0.5000 0.5000 0.5000
0.0000 0.5000 0.0000
0.0000 0.0000 0.5000
0.5000 0.0000 0.0000
```

Properties
Total magnetization   1.0 μB/cell
ΔE_f (raw)   1305 meV per atom
Symmetry   No. 221

---

Record 3
Below is a crystal of Pr8Ga3Co relaxed with PBEsol, with properties calculated at the SCAN level.

```
Pr8Ga3Co
1.0
-0.3008 -6.6657 -1.3414
8.3984 0.8508 -6.1110
1.1293 -2.0928 10.1463
Pr Ga Co
16 6 2
Direct
0.5023 0.1704 0.8296
0.0023 0.8296 0.6593
0.0023 0.3407 0.1704
0.5023 0.6593 0.8296
0.5023 0.1704 0.3407
0.0023 0.8296 0.1704
0.8268 0.3333 0.6667
0.3268 0.6667 0.3333
0.2124 0.4634 0.5366
0.7124 0.5366 0.0732
0.7124 0.9268 0.4634
0.2124 0.0732 0.5366
0.2124 0.4634 0.9268
0.7124 0.5366 0.4634
0.2181 0.0000 0.0000
0.7181 0.0000 0.0000
0.9695 0.1648 0.8352
0.4695 0.8352 0.6704
0.4695 0.3296 0.1648
0.9695 0.6704 0.8352
0.9695 0.1648 0.3296
0.4695 0.8352 0.1648
0.4394 0.3333 0.6667
0.9394 0.6667 0.3333
```

Properties
Total magnetization   0.0 μB/cell
DFT formation energy   -0.374 eV per atom
Symmetry   No. 186